# GGA-PBE Er2Th2Sc, optimized geometry
data_Er2Th2Sc
_chemical_formula_sum 'Er8 Th8 Sc4'
_cell_length_a 7.453
_cell_length_b 14.372
_cell_length_c 6.376
_cell_angle_alpha 90.00
_cell_angle_beta 109.03
_cell_angle_gamma 90.00
_space_group_name_H-M_alt 'C 1 2/m 1'
_space_group_IT_number 12
_space_group_name_Hall '-C 2y'
loop_
_atom_site_label
_atom_site_type_symbol
_atom_site_fract_x
_atom_site_fract_y
_atom_site_fract_z
Er1 Er 0.000 0.158 0.000
Er2 Er 0.154 0.000 0.720
Th1 Th 0.000 0.371 0.000
Th2 Th 0.187 0.500 0.704
Sc1 Sc 0.000 0.252 0.500
# E_form ... 41.5 kJ/mol of atoms
# Total DFT energy (no corrections) ... -112.580 eV/cell
# Distance to the lowest polymorph of the same formula ... 0.103 eV/atom

# GGA-PBE NdCoAs2, optimized geometry
data_NdCoAs2
_chemical_formula_sum 'Nd8 Co8 As16'
_cell_length_a 5.632
_cell_length_b 19.777
_cell_length_c 5.635
_cell_angle_alpha 90.00
_cell_angle_beta 90.00
_cell_angle_gamma 90.00
_space_group_name_H-M_alt 'F m m 2'
_space_group_IT_number 42
_space_group_name_Hall 'F 2 -2'
loop_
_atom_site_label
_atom_site_type_symbol
_atom_site_fract_x
_atom_site_fract_y
_atom_site_fract_z
Nd1 Nd 0.000 0.119 0.000
Co1 Co 0.250 0.250 0.250
As1 As 0.000 0.186 0.500
As2 As 0.249 0.000 0.251
# E_form ... -79.7 kJ/mol of atoms
# Total DFT energy (no corrections) ... -195.806 eV/cell

# GGA-PBE KLiCd2, optimized geometry
data_KLiCd2
_chemical_formula_sum 'K2 Li2 Cd4'
_cell_length_a 9.937
_cell_length_b 3.321
_cell_length_c 7.250
_cell_angle_alpha 90.00
_cell_angle_beta 98.60
_cell_angle_gamma 90.00
_space_group_name_H-M_alt 'C 1 2/m 1'
_space_group_IT_number 12
_space_group_name_Hall '-C 2y'
loop_
_atom_site_label
_atom_site_type_symbol
_atom_site_fract_x
_atom_site_fract_y
_atom_site_fract_z
K1 K 0.000 0.000 0.000
Li1 Li 0.000 0.500 0.500
Cd1 Cd 0.230 0.000 0.672
# E_form ... 0.6 kJ/mol of atoms
# Total DFT energy (no corrections) ... -9.634 eV/cell
# Distance to the lowest polymorph of the same formula ... 0.118 eV/atom

# GGA-PBE AcTmCoNi, optimized geometry
data_AcTmCoNi
_chemical_formula_sum 'Ac4 Tm4 Co4 Ni4'
_cell_length_a 6.971
_cell_length_b 6.971
_cell_length_c 6.971
_cell_angle_alpha 90.00
_cell_angle_beta 90.00
_cell_angle_gamma 90.00
_space_group_name_H-M_alt 'F -4 3 m'
_space_group_IT_number 216
_space_group_name_Hall 'F -4 2 3'
loop_
_atom_site_label
_atom_site_type_symbol
_atom_site_fract_x
_atom_site_fract_y
_atom_site_fract_z
Ac1 Ac 0.000 0.000 0.000
Tm1 Tm 0.000 0.000 0.500
Co1 Co 0.250 0.250 0.750
Ni1 Ni 0.250 0.250 0.250
# E_form ... -6.0 kJ/mol of atoms
# Total DFT energy (no corrections) ... -86.868 eV/cell

# GGA-PBE Te3P, optimized geometry
data_Te3P
_chemical_formula_sum 'Te6 P2'
_cell_length_a 3.734
_cell_length_b 5.242
_cell_length_c 10.859
_cell_angle_alpha 90.00
_cell_angle_beta 90.00
_cell_angle_gamma 90.00
_space_group_name_H-M_alt 'C m m m'
_space_group_IT_number 65
_space_group_name_Hall '-C 2 2'
loop_
_atom_site_label
_atom_site_type_symbol
_atom_site_fract_x
_atom_site_fract_y
_atom_site_fract_z
Te1 Te 0.000 0.000 0.000
Te2 Te 0.000 0.500 0.308
P1 P 0.000 0.000 0.500
# Total DFT energy (no corrections) ... -26.217 eV/cell
# Distance to the lowest polymorph of the same formula ... 0.243 eV/atom
# ΔE_f (raw) ... 0.43 eV/atom

# GGA-PBE MgBiSbF2, optimized geometry
data_MgBiSbF2
_chemical_formula_sum 'Mg1 Bi1 Sb1 F2'
_cell_length_a 4.368
_cell_length_b 4.368
_cell_length_c 6.220
_cell_angle_alpha 90.00
_cell_angle_beta 90.00
_cell_angle_gamma 90.00
_space_group_name_H-M_alt 'P 4/m m m'
_space_group_IT_number 123
_space_group_name_Hall '-P 4 2'
loop_
_atom_site_label
_atom_site_type_symbol
_atom_site_fract_x
_atom_site_fract_y
_atom_site_fract_z
Mg1 Mg 0.000 0.000 0.000
Bi1 Bi 0.500 0.500 0.000
Sb1 Sb 0.000 0.000 0.500
F1 F 0.000 0.500 0.500
# Total DFT energy (no corrections) ... -18.390 eV/cell
# ΔE_f (raw) ... -1.01 eV/atom